BaGaSnAu6: relaxed, PBE.

Output
The calculation puts the energy at -3.340 eV per atom.

Cell lengths 7.192, 8.990, 9.419 Å; angles 118.51, 112.45, 90.00 degrees
Fractional positions:
Ba  0.097  0.347  0.194
Au  0.553  0.328  0.689
Au  0.876  0.126  0.751
Sn  0.500  0.000  0.000
Au  0.864  0.672  0.311
Ga  0.500  0.000  0.500
Au  0.553  0.861  0.689
Au  0.136  0.328  0.689
Au  0.625  0.375  0.250
Au  0.447  0.672  0.311
Au  0.375  0.625  0.750
Au  0.864  0.139  0.311
Au  0.447  0.139  0.311
Au  0.124  0.874  0.249
Ga  0.000  0.000  0.500
Ba  0.903  0.653  0.806
Sn  0.500  0.500  0.000
Au  0.136  0.861  0.689